First-principles (GGA+U) data for CrClF2 after structural relaxation, as listed in Alexandria via LeMat-Bulk.

Its space-group type is R-3m. The value obtained for the total DFT energy (no corrections) is -4.818 eV/atom. The calculation puts the theoretical density at 2.7 g cm⁻³.

Cell and atoms, written as POSCAR:
```
CrClF2
1.0
1.6597 0.9582 8.0555
-1.6597 0.9582 8.0555
0.0000 -1.9164 8.0555
Cr Cl F
1 1 2
direct
0.0000 0.0000 0.0000
0.5000 0.5000 0.5000
0.3680 0.3680 0.3680
0.6320 0.6320 0.6320
```

---

First-principles (GGA+U) data for Cr2Cl3F after structural relaxation, as listed in Alexandria via LeMat-Bulk.

Its space-group type is P-1. The value obtained for the total DFT energy (no corrections) is -5.262 eV/atom. The calculation puts the theoretical density at 2.5 g cm⁻³.

Cell and atoms, written as POSCAR:
```
Cr2Cl3F
1.0
6.5032 0.0000 0.0000
-0.0107 6.8120 0.0000
-0.9692 -3.4074 6.8893
Cr Cl F
4 6 2
direct
0.0000 0.0000 0.0000
0.0000 0.0000 0.5000
0.0000 0.5000 0.0000
0.0000 0.5000 0.5000
0.2223 0.3308 0.1642
0.2223 0.8341 0.1643
0.2274 0.3413 0.6819
0.7726 0.6587 0.3181
0.7777 0.1659 0.8357
0.7777 0.6692 0.8358
0.1237 0.8161 0.6319
0.8763 0.1839 0.3681
```

---

First-principles (GGA+U) data for CrClF2 after structural relaxation, as listed in Alexandria via LeMat-Bulk.

Its space-group type is Fm-3m. The value obtained for the total DFT energy (no corrections) is -4.126 eV/atom. The calculation puts the theoretical density at 4.0 g cm⁻³.

Cell and atoms, written as POSCAR:
```
CrClF2
1.0
0.0000 2.9697 2.9697
2.9697 0.0000 2.9697
2.9697 2.9697 0.0000
Cr Cl F
1 1 2
direct
0.0000 0.0000 0.0000
0.5000 0.5000 0.5000
0.2500 0.2500 0.2500
0.7500 0.7500 0.7500
```

---

First-principles (GGA+U) data for CrClF2 after structural relaxation, as listed in Alexandria via LeMat-Bulk.

Its space-group type is I4_1/amd. The value obtained for the total DFT energy (no corrections) is -4.805 eV/atom. The calculation puts the theoretical density at 2.5 g cm⁻³.

Cell and atoms, written as POSCAR:
```
CrClF2
1.0
-2.7970 2.7970 5.3239
2.7970 -2.7970 5.3239
2.7970 2.7970 -5.3239
Cr Cl F
2 2 4
direct
0.3750 0.6250 0.7500
0.6250 0.3750 0.2500
0.1250 0.8750 0.2500
0.8750 0.1250 0.7500
0.0000 0.5000 0.5000
0.5000 0.0000 0.0000
0.5000 0.5000 0.0000
0.5000 0.5000 0.5000
```

---

First-principles (GGA+U) data for CrCl3F after structural relaxation, as listed in Alexandria via LeMat-Bulk.

Its space-group type is Pm-3m. The value obtained for the total DFT energy (no corrections) is -2.804 eV/atom. The calculation puts the theoretical density at 2.8 g cm⁻³.

Cell and atoms, written as POSCAR:
```
CrCl3F
1.0
4.6981 0.0000 0.0000
0.0000 4.6981 0.0000
0.0000 0.0000 4.6981
Cr Cl F
1 3 1
direct
0.0000 0.0000 0.0000
0.0000 0.5000 0.5000
0.5000 0.0000 0.5000
0.5000 0.5000 0.0000
0.5000 0.5000 0.5000
```

---

First-principles (GGA+U) data for CrCl2F4 after structural relaxation, as listed in Alexandria via LeMat-Bulk.

Its space-group type is P-1. The value obtained for the total DFT energy (no corrections) is -4.271 eV/atom. The calculation puts the theoretical density at 2.4 g cm⁻³.

Cell and atoms, written as POSCAR:
```
CrCl2F4
1.0
3.0469 0.0000 0.0000
0.0588 5.3311 0.0000
0.3529 0.5907 8.3188
Cr Cl F
1 2 4
direct
0.0000 0.0000 0.0000
0.0077 0.4252 0.3944
0.9923 0.5748 0.6056
0.0222 0.7451 0.8615
0.4924 0.8432 0.1182
0.5076 0.1568 0.8818
0.9778 0.2549 0.1385
```

---

First-principles (GGA+U) data for Cr3ClF after structural relaxation, as listed in Alexandria via LeMat-Bulk.

Its space-group type is Pm-3m. The value obtained for the total DFT energy (no corrections) is -5.444 eV/atom. The calculation puts the theoretical density at 3.4 g cm⁻³.

Cell and atoms, written as POSCAR:
```
Cr3ClF
1.0
4.7001 0.0000 0.0000
0.0000 4.7001 0.0000
0.0000 0.0000 4.7001
Cr Cl F
3 1 1
direct
0.0000 0.0000 0.5000
0.0000 0.5000 0.0000
0.5000 0.0000 0.0000
0.5000 0.5000 0.5000
0.0000 0.0000 0.0000
```

---

First-principles (GGA+U) data for CrClF2 after structural relaxation, as listed in Alexandria via LeMat-Bulk.

Its space-group type is R-3m. The value obtained for the total DFT energy (no corrections) is -4.046 eV/atom. The calculation puts the theoretical density at 2.6 g cm⁻³.

Cell and atoms, written as POSCAR:
```
CrClF2
1.0
1.5226 0.8791 10.0586
-1.5226 0.8791 10.0586
0.0000 -1.7581 10.0586
Cr Cl F
1 1 2
direct
0.0000 0.0000 0.0000
0.5000 0.5000 0.5000
0.0593 0.0593 0.0593
0.9407 0.9407 0.9407
```

---

First-principles (GGA+U) data for CrCl3F after structural relaxation, as listed in Alexandria via LeMat-Bulk.

Its space-group type is Pm-3m. The value obtained for the total DFT energy (no corrections) is -3.473 eV/atom. The calculation puts the theoretical density at 2.7 g cm⁻³.

Cell and atoms, written as POSCAR:
```
CrCl3F
1.0
4.7520 0.0000 0.0000
0.0000 4.7520 0.0000
0.0000 0.0000 4.7520
Cr Cl F
1 3 1
direct
0.0000 0.0000 0.0000
0.0000 0.0000 0.5000
0.0000 0.5000 0.0000
0.5000 0.0000 0.0000
0.5000 0.5000 0.5000
```

---

First-principles (GGA+U) data for CrGaClF2 after structural relaxation, as listed in Alexandria via LeMat-Bulk.

Its space-group type is P4/mmm. The value obtained for the total DFT energy (no corrections) is -4.984 eV/atom. The calculation puts the theoretical density at 3.4 g cm⁻³.

Cell and atoms, written as POSCAR:
```
CrGaClF2
1.0
4.0923 0.0000 0.0000
0.0000 4.0923 0.0000
0.0000 0.0000 5.6623
Cr Ga Cl F
1 1 1 2
direct
0.0000 0.0000 0.0000
0.5000 0.5000 0.5000
0.0000 0.0000 0.5000
0.0000 0.5000 0.0000
0.5000 0.0000 0.0000
```

---

First-principles (GGA+U) data for CrHCl2F after structural relaxation, as listed in Alexandria via LeMat-Bulk.

Its space-group type is P4/mmm. The value obtained for the total DFT energy (no corrections) is -3.708 eV/atom. The calculation puts the theoretical density at 3.4 g cm⁻³.

Cell and atoms, written as POSCAR:
```
CrHCl2F
1.0
4.7814 0.0000 0.0000
0.0000 4.7814 0.0000
0.0000 0.0000 3.0121
Cr H Cl F
1 1 2 1
direct
0.0000 0.0000 0.0000
0.5000 0.5000 0.5000
0.0000 0.5000 0.5000
0.5000 0.0000 0.5000
0.5000 0.5000 0.0000
```

---

First-principles (GGA+U) data for ZnCrH15N5Cl4F after structural relaxation, as listed in Alexandria via LeMat-Bulk.

Its space-group type is Cmc2_1. The value obtained for the total DFT energy (no corrections) is -4.834 eV/atom. The calculation puts the theoretical density at 1.9 g cm⁻³.

Cell and atoms, written as POSCAR:
```
ZnCrH15N5Cl4F
1.0
4.0611 -8.5599 0.0000
4.0611 8.5599 0.0000
0.0000 0.0000 9.3015
Zn Cr H N Cl F
2 2 30 10 8 2
direct
0.1132 0.8868 0.5000
0.8868 0.1132 0.0000
0.4019 0.5981 0.6112
0.5981 0.4019 0.1112
0.0676 0.4917 0.5391
0.0838 0.3319 0.4958
0.1457 0.2732 0.7360
0.1738 0.5092 0.3909
0.2215 0.5769 0.8473
0.2607 0.7393 0.7427
0.2732 0.1457 0.2360
0.2758 0.3069 0.1654
0.3069 0.2758 0.6654
0.3319 0.0838 0.9958
0.3431 0.3756 0.8220
0.3756 0.3431 0.3220
0.4231 0.7785 0.8473
0.4908 0.8262 0.3909
0.4917 0.0676 0.0391
0.5083 0.9324 0.5391
0.5092 0.1738 0.8909
0.5769 0.2215 0.3473
0.6244 0.6569 0.8220
0.6569 0.6244 0.3220
0.6681 0.9162 0.4958
0.6931 0.7242 0.1654
0.7242 0.6931 0.6654
0.7268 0.8543 0.7360
0.7393 0.2607 0.2427
0.7785 0.4231 0.3473
0.8262 0.4908 0.8909
0.8543 0.7268 0.2360
0.9162 0.6681 0.9958
0.9324 0.5083 0.0391
0.1534 0.4704 0.4968
0.2844 0.3531 0.7221
0.3170 0.6830 0.7812
0.3531 0.2844 0.2221
0.4704 0.1534 0.9968
0.5296 0.8466 0.4968
0.6469 0.7156 0.7221
0.6830 0.3170 0.2812
0.7156 0.6469 0.2221
0.8466 0.5296 0.9968
0.0195 0.9805 0.9718
0.0787 0.3909 0.1121
0.1704 0.8296 0.2767
0.3909 0.0787 0.6121
0.6091 0.9213 0.1121
0.8296 0.1704 0.7767
0.9213 0.6091 0.6121
0.9805 0.0195 0.4718
0.4790 0.5210 0.4614
0.5210 0.4790 0.9614
```